# 1
VASP calculation (PBE-GGA) on crystalline BaBeP2Os at its relaxed geometry.

a b c (Å): 7.0231 7.0231 7.0231
angles (deg): 148.30 148.30 45.44
Positions (direct):
Ba 0.0000 0.0000 0.0000
Be 0.7500 0.2500 0.5000
P 0.3501 0.3501 0.0000
P 0.6499 0.6499 0.0000
Os 0.2500 0.7500 0.5000

Output
Space-group type: No. 119
Crystal system: tetragonal


# 2
VASP calculation (PBE-GGA) on crystalline LiTmSnSe3 at its relaxed geometry.

a b c (Å): 12.8582 4.0275 12.1895
angles (deg): 90.00 90.00 90.00
Positions (direct):
Li 0.2381 0.2500 0.1290
Li 0.2619 0.7500 0.6290
Li 0.7381 0.2500 0.3710
Li 0.7619 0.7500 0.8710
Tm 0.0031 0.2500 0.3539
Tm 0.4969 0.7500 0.8539
Tm 0.5031 0.2500 0.1461
Tm 0.9969 0.7500 0.6461
Sn 0.0593 0.2500 0.9138
Sn 0.4407 0.7500 0.4138
Sn 0.5593 0.2500 0.5862
Sn 0.9407 0.7500 0.0862
Se 0.1063 0.7500 0.2228
Se 0.1222 0.2500 0.5479
Se 0.1586 0.7500 0.8101
Se 0.3414 0.2500 0.3101
Se 0.3778 0.7500 0.0479
Se 0.3937 0.2500 0.7228
Se 0.6063 0.7500 0.2772
Se 0.6222 0.2500 0.9521
Se 0.6586 0.7500 0.6899
Se 0.8414 0.2500 0.1899
Se 0.8778 0.7500 0.4521
Se 0.8937 0.2500 0.7772

Output
Space-group type: No. 62
Crystal system: orthorhombic


Number 1: DFT total energy -6.053 eV per atom. Number 2: DFT total energy -4.676 eV per atom.